[1]
First-principles (PBE) data for crystalline ScBe3Pd at its relaxed geometry, as listed in Alexandria.

POSCAR file:
```
ScBe3Pd
1.0
-4.356 0.825 0.709
-0.854 -4.406 -0.124
0.673 -0.255 4.432
Be Pd Sc
3 1 1
Direct
0.500 0.000 0.000 Be
0.000 0.000 0.500 Be
0.000 0.500 0.000 Be
0.500 0.500 0.500 Pd
0.000 0.000 0.000 Sc
```

Calculated values
VASP energy (eV/atom): -2.726
Formation energy (eV per atom): 1.814
Energy relative to the lowest polymorph listed for this composition (kJ per mole of atoms): 171.0
Crystal system: cubic


[2]
First-principles (PBE) data for crystalline ReAs2Au at its relaxed geometry, as listed in Alexandria.

POSCAR file:
```
ReAs2Au
1.0
-4.173 0.121 2.340
1.284 -1.048 4.490
1.845 3.373 -2.850
Au As Re
1 2 1
Direct
0.250 0.750 0.500 Au
0.500 0.500 0.000 As
0.000 0.000 0.000 As
0.750 0.250 0.500 Re
```

Calculated values
VASP energy (eV/atom): -5.678
Formation energy (eV per atom): 0.578
Energy relative to the lowest polymorph listed for this composition (kJ per mole of atoms): 38.1
Crystal system: tetragonal


[3]
First-principles (PBE) data for crystalline ErMgBeZn at its relaxed geometry, as listed in Alexandria.

POSCAR file:
```
ErMgBeZn
1.0
-0.927 -4.571 -0.366
3.507 -3.080 -0.311
0.920 -2.867 3.581
Zn Er Be Mg
1 1 1 1
Direct
0.000 0.000 0.000 Zn
0.750 0.750 0.750 Er
0.500 0.500 0.500 Be
0.250 0.250 0.250 Mg
```

Calculated values
VASP energy (eV/atom): -2.887
Formation energy (eV per atom): -0.098
Crystal system: cubic


[4]
First-principles (PBE) data for crystalline Cs2SnRh at its relaxed geometry, as listed in Alexandria.

POSCAR file:
```
Cs2SnRh
1.0
-6.530 6.530 2.531
6.530 -6.530 2.531
6.530 6.530 -2.531
Cs Rh Sn
4 2 2
Direct
0.547 0.375 0.672 Cs
0.125 0.453 0.828 Cs
0.703 0.875 0.328 Cs
0.625 0.297 0.172 Cs
0.750 0.250 0.500 Rh
0.500 0.500 0.000 Rh
0.250 0.750 0.500 Sn
0.000 0.000 0.000 Sn
```

Calculated values
VASP energy (eV/atom): -3.155
Formation energy (eV per atom): 0.111
Energy relative to the lowest polymorph listed for this composition (kJ per mole of atoms): 0.0
Crystal system: tetragonal


Number 1: total moment 1.268 Bohr magnetons per cell. Number 2: total moment 0.000 Bohr magnetons per cell. Number 3: total moment 0.000 Bohr magnetons per cell. Number 4: total moment 0.000 Bohr magnetons per cell.